## Sm8Y6Er (PBE)

Data for a relaxed structure of Sm8Y6Er.

N(E_F), states/eV per cell: 24.15
Size of the total moment, μB per formula unit: 0.00
Energy of formation, eV/atom: 0.169
Excess energy over the best structure of this formula in the dataset, kJ/mol of formula units: 77

abc: 6.552 9.420 9.420
angles: 120.00 90.00 90.00
Positions (direct):
Sm  0.876  0.333  0.667
Sm  0.834  0.717  0.753
Sm  0.124  0.667  0.333
Sm  0.166  0.753  0.036
Sm  0.166  0.964  0.717
Sm  0.834  0.247  0.964
Sm  0.834  0.036  0.283
Sm  0.166  0.283  0.247
Y  0.340  0.345  0.908
Y  0.340  0.092  0.437
Y  0.660  0.908  0.563
Y  0.340  0.563  0.655
Y  0.660  0.655  0.092
Y  0.660  0.437  0.345
Er  0.500  0.000  0.000